! MnZnO2 GGA+U relaxed; values from VASP
! VASP energy: -6.16 eV per atom
&SYSTEM
  ibrav = 0, nat = 8, ntyp = 3
/
ATOMIC_SPECIES
Zn 65.41 Zn.upf
Mn 54.94 Mn.upf
O 16.00 O.upf
ATOMIC_POSITIONS crystal
Zn 0.8115 0.9424 0.0561
Zn 0.3115 0.4424 0.0561
Mn 0.8113 0.4430 0.5561
Mn 0.3113 0.9430 0.5561
O 0.0621 0.6923 0.8181
O 0.5616 0.6925 0.2935
O 0.0616 0.1925 0.2935
O 0.5621 0.1923 0.8181
CELL_PARAMETERS angstrom
-1.0931 -4.3741 -1.7173
2.3022 -1.9383 3.4537
-3.9874 -0.0398 2.6248